[1]
Compound: Tb3NiRh2
Source: Alexandria
Functional: PBE-GGA
Structure: relaxed

Structure (POSCAR):
```
Tb3NiRh2
1.0
4.848 0.000 0.000
-2.424 4.198 0.000
0.000 0.000 11.893
Tb Rh Ni
6 4 2
Direct
0.667 0.333 0.583
0.667 0.333 0.085
0.333 0.667 0.417
0.333 0.667 0.915
0.000 0.000 0.252
0.000 0.000 0.748
0.000 0.000 0.000
0.000 0.000 0.500
0.667 0.333 0.832
0.333 0.667 0.168
0.667 0.333 0.333
0.333 0.667 0.667
```

Summary:
- Symmetry: P-3m1, No. 164
- E: -6.4198 eV per atom
- Total moment: 0.000 μB per atom

[2]
Compound: NpSiS3
Source: Alexandria
Functional: PBE-GGA
Structure: relaxed

Structure (POSCAR):
```
NpSiS3
1.0
-3.044 6.183 0.120
-4.426 -4.414 2.904
6.069 1.173 3.050
Np S Si
2 6 2
Direct
0.767 0.794 0.473
0.321 0.294 0.527
0.053 0.290 0.768
0.053 0.784 0.263
0.521 0.790 0.737
0.521 0.284 0.232
0.001 0.270 0.231
0.040 0.770 0.769
0.678 0.020 0.158
0.862 0.520 0.842
```

Summary:
- Symmetry: Ima2, No. 46
- Energy relative to the elements, uncorrected: -590 meV per atom
- E: -6.7392 eV per atom
- Total moment: 0.600 μB per atom

[3]
Compound: NaLaZn2Pb
Source: Alexandria
Functional: PBE-GGA
Structure: relaxed

Structure (POSCAR):
```
NaLaZn2Pb
1.0
-3.168 -1.425 4.332
0.560 -5.917 -1.536
4.532 -0.397 3.184
La Pb Zn Na
1 1 2 1
Direct
0.000 0.000 0.000
0.500 0.500 0.500
0.500 0.000 0.000
0.000 0.000 0.500
0.000 0.500 0.000
```

Summary:
- Symmetry: P4/mmm, No. 123
- E: -1.6893 eV per atom
- Total moment: 0.000 μB per atom

[4]
Compound: NaSbSe3
Source: Alexandria
Functional: PBE-GGA
Structure: relaxed

Structure (POSCAR):
```
NaSbSe3
1.0
-2.482 -4.371 2.127
0.970 -2.779 -4.577
8.709 -3.231 3.807
Se Na Sb
6 2 2
Direct
0.961 0.434 0.342
0.474 0.467 0.339
0.526 0.967 0.661
0.756 0.448 0.942
0.244 0.948 0.058
0.039 0.934 0.658
0.699 0.954 0.366
0.301 0.454 0.634
0.192 0.447 0.109
0.808 0.947 0.891
```

Summary:
- Symmetry: P2_1, No. 4
- Energy relative to the elements, uncorrected: -412 meV per atom
- E: -3.5913 eV per atom
- Total moment: 0.000 μB per atom

[5]
Compound: Nd2ErTmSe4
Source: Alexandria
Functional: PBE-GGA
Structure: relaxed

Structure (POSCAR):
```
Nd2ErTmSe4
1.0
-2.713 -1.900 2.324
3.708 -5.964 -0.547
2.430 3.724 5.879
Se Nd Tm Er
4 2 1 1
Direct
0.000 0.256 0.769
0.000 0.744 0.231
0.500 0.242 0.230
0.500 0.758 0.770
0.000 0.500 0.500
0.500 0.000 0.500
0.000 0.000 0.000
0.500 0.500 0.000
```

Summary:
- Symmetry: P2/m, No. 10
- Energy relative to the elements, uncorrected: -1768 meV per atom
- E: -5.8314 eV per atom
- Total moment: 0.000 μB per atom

[6]
Compound: Li2In2Pd7
Source: Alexandria
Functional: PBE-GGA
Structure: relaxed

Structure (POSCAR):
```
Li2In2Pd7
1.0
6.551 -0.364 -0.511
-0.503 4.512 0.476
-0.918 0.359 6.507
Pd Li In
7 2 2
Direct
0.979 0.779 0.392
0.428 0.205 0.572
0.000 0.000 0.000
0.021 0.221 0.608
0.392 0.221 0.979
0.608 0.779 0.021
0.572 0.795 0.428
0.737 0.301 0.263
0.263 0.699 0.737
0.786 0.500 0.786
0.214 0.500 0.214
```

Summary:
- Symmetry: C2/m, No. 12
- E: -4.4011 eV per atom
- Total moment: 0.000 μB per atom

[7]
Compound: LaCr2CuNi
Source: Alexandria
Functional: PBE-GGA
Structure: relaxed

Structure (POSCAR):
```
LaCr2CuNi
1.0
-0.489 -4.197 1.925
3.181 1.097 3.200
-3.812 1.885 3.143
Cr La Ni Cu
2 1 1 1
Direct
0.000 0.500 0.000
0.500 0.000 0.000
0.000 0.000 0.500
0.500 0.500 0.500
0.000 0.000 0.000
```

Summary:
- Symmetry: P4/mmm, No. 123
- E: -5.8291 eV per atom
- Total moment: 1.627 μB per atom

[8]
Compound: Te2PdO
Source: Alexandria
Functional: PBE-GGA
Structure: relaxed

Structure (POSCAR):
```
Te2PdO
1.0
-0.929 8.984 1.045
2.196 8.701 1.461
1.003 8.917 -1.462
Te Pd O
2 1 1
Direct
0.099 0.099 0.099
0.901 0.901 0.901
0.000 0.000 0.000
0.500 0.500 0.500
```

Summary:
- Symmetry: R-3m, No. 166
- Energy relative to the elements, uncorrected: 202 meV per atom
- E: -3.9068 eV per atom
- Total moment: 0.000 μB per atom

[9]
Compound: Ba3TiCl
Source: Alexandria
Functional: PBE-GGA
Structure: relaxed

Structure (POSCAR):
```
Ba3TiCl
1.0
-4.580 1.592 3.708
-3.148 -4.919 -1.776
2.525 -3.245 4.512
Ba Cl Ti
3 1 1
Direct
0.500 0.000 0.000
0.000 0.500 0.000
0.000 0.000 0.500
0.000 0.000 0.000
0.500 0.500 0.500
```

Summary:
- Symmetry: Pm-3m, No. 221
- Energy relative to the elements, uncorrected: -154 meV per atom
- E: -3.2562 eV per atom
- Total moment: 0.913 μB per atom

[10]
Compound: Rb6Hg2Au2O
Source: Alexandria
Functional: PBE-GGA
Structure: relaxed

Structure (POSCAR):
```
Rb6Hg2Au2O
1.0
-2.523 6.505 -4.949
-5.705 -4.488 4.527
9.070 2.801 6.295
O Hg Au Rb
1 2 2 6
Direct
0.000 0.000 0.500
0.168 0.832 0.000
0.832 0.168 0.000
0.668 0.332 0.500
0.332 0.668 0.500
0.926 0.926 0.703
0.797 0.524 0.296
0.074 0.074 0.297
0.524 0.797 0.296
0.203 0.476 0.704
0.476 0.203 0.704
```

Summary:
- Symmetry: C2/m, No. 12
- Energy relative to the elements, uncorrected: -416 meV per atom
- E: -2.0454 eV per atom
- Total moment: 0.000 μB per atom

[11]
Compound: Nd2TiGa3Rh4
Source: Alexandria
Functional: PBE-GGA
Structure: relaxed

Structure (POSCAR):
```
Nd2TiGa3Rh4
1.0
-4.115 -0.059 -0.911
-0.431 -3.582 2.179
-2.029 5.596 8.800
Nd Ti Ga Rh
2 1 3 4
Direct
0.500 0.000 0.235
0.000 0.500 0.765
0.500 0.500 0.500
0.000 0.000 0.500
0.500 0.000 0.875
0.000 0.500 0.125
0.000 0.500 0.363
0.500 0.500 0.000
0.500 0.000 0.637
0.000 0.000 0.000
```

Summary:
- Symmetry: P-4m2, No. 115
- E: -6.3696 eV per atom
- Total moment: 0.000 μB per atom

[12]
Compound: BeTl2Re
Source: Alexandria
Functional: PBE-GGA
Structure: relaxed

Structure (POSCAR):
```
BeTl2Re
1.0
4.014 0.000 0.000
0.000 3.761 -0.007
0.000 1.888 5.116
Be Tl Re
1 2 1
Direct
0.000 0.677 0.521
0.500 0.279 0.315
0.000 0.981 0.914
0.500 0.563 0.750
```

Summary:
- Symmetry: Amm2, No. 38
- E: -4.4794 eV per atom
- Total moment: 0.000 μB per atom

Question: Among the records above, which one has the highest E?
Answer: NaLaZn2Pb

Question: What is the E in the fourth record?
Answer: -3.5913 eV per atom